Here is a relaxed CuRh2 crystal from the Alexandria database. Energies are from PBE-GGA.

Output
**Formation energy**: 75 meV per atom
**Spin magnetization**: 0.0001 μB/atom

POSCAR file:
```
CuRh2
1.0
1.893 -5.723 0.000
1.893 5.723 0.000
0.000 0.000 3.773
Cu Rh
2 4
Direct
0.079 0.921 0.750
0.921 0.079 0.250
0.246 0.754 0.250
0.417 0.583 0.750
0.583 0.417 0.250
0.754 0.246 0.750
```

***

Here is a relaxed Li5PbAu6 crystal from the Alexandria database. Energies are from PBE-GGA.

Output
**Formation energy**: -454 meV per atom
**Spin magnetization**: 0.0000 μB/atom

POSCAR file:
```
Li5PbAu6
1.0
7.025 -3.379 0.000
7.025 3.379 0.000
-1.360 0.000 4.279
Li Pb Au
5 1 6
Direct
0.000 0.000 0.000
0.174 0.174 0.676
0.342 0.342 0.341
0.658 0.658 0.659
0.826 0.826 0.324
0.500 0.500 0.000
0.049 0.597 0.820
0.213 0.787 0.500
0.403 0.951 0.180
0.597 0.049 0.820
0.787 0.213 0.500
0.951 0.403 0.180
```

***

Here is a relaxed NdTmThMg crystal from the Alexandria database. Energies are from PBE-GGA.

Output
**Formation energy**: -38 meV per atom
**Spin magnetization**: 0.0000 μB/atom

POSCAR file:
```
NdTmThMg
1.0
3.599 0.000 0.000
0.000 3.599 0.000
0.000 0.000 9.304
Nd Tm Th Mg
1 1 1 1
Direct
0.000 0.000 0.000
0.000 0.000 0.482
0.500 0.500 0.734
0.500 0.500 0.252
```

***

Here is a relaxed Sr3In2Ge2Pd4 crystal from the Alexandria database. Energies are from PBE-GGA.

Output
**Formation energy**: -583 meV per atom
**Spin magnetization**: 0.0000 μB/atom

POSCAR file:
```
Sr3In2Ge2Pd4
1.0
4.473 0.000 0.000
-2.237 3.874 0.000
0.000 0.000 15.809
Sr In Ge Pd
3 2 2 4
Direct
0.000 0.000 0.000
0.000 0.000 0.269
0.000 0.000 0.731
0.333 0.667 0.562
0.667 0.333 0.438
0.333 0.667 0.140
0.667 0.333 0.860
0.333 0.667 0.387
0.333 0.667 0.864
0.667 0.333 0.136
0.667 0.333 0.613
```

***

For the records above, the corresponding Fermi-level density of states values read 8.51 1.99 4.21 8.44 states/eV per cell.